Model one:
SnTe2PtN: optimized geometry, PBE-GGA.

## Properties
**Calculated density**: 7.98 g/cm3
**N(E_F)**: 2.43 states/eV/f.u.

Geometry as extended XYZ:
```
5
Lattice="-2.222 4.700 -2.374 2.351 -1.419 -5.012 -3.063 -1.902 -0.898" Properties=species:S:1:pos:R:3 pbc="T T T"
N -1.531 -0.951 -0.449
Te -1.111 2.350 -1.187
Te 1.176 -0.710 -2.506
Sn -1.467 0.690 -4.142
Pt 0.000 0.000 0.000
```

---

Model two:
SnTe2PtN: optimized geometry, PBE-GGA.

## Properties
**Calculated density**: 7.71 g/cm3
**N(E_F)**: 4.73 states/eV/f.u.

Geometry as extended XYZ:
```
5
Lattice="-1.431 5.561 0.078 -5.258 -1.379 1.853 1.202 0.259 3.601" Properties=species:S:1:pos:R:3 pbc="T T T"
Sn 0.000 0.000 0.000
Pt -2.744 2.220 2.766
Te -2.629 -0.690 0.927
N 0.601 0.129 1.801
Te -0.716 2.781 0.039
```

---

Energies relative to the most stable structure, in kJ/mol of atoms: model one 0.0; model two 79.3.